First-principles (PBE) data for ErInAu after structural relaxation, as listed in the Open Quantum Materials Database.

Unit cell a=8.3553 b=8.3553 c=3.4453 alpha=90.00 beta=90.00 gamma=120.00
Closest atoms and distances in Å follow each position.
Space group P-62m (No. 189)
Inequivalent atoms, fractional coordinates:
Er (0.0000, 0.2969, 0.0000) (multiplicity 3)  4 In 2.95-3.02, 4 Au 3.28
In (0.0000, 0.0000, 0.5000) (multiplicity 1)  6 Er 3.02, 3 Au 3.02
In (0.3333, 0.6667, 0.0000) (multiplicity 2)  3 Er 2.95, 6 Au 3.18
Au (0.0000, 0.6380, 0.5000) (multiplicity 3)  5 In 3.02-3.18, 6 Er 3.28-3.33

Results
DFT total energy in eV per atom: -3.881
Total magnetization in μB per formula unit: 0.0


First-principles (PBE) data for GdTcSb after structural relaxation, as listed in the Open Quantum Materials Database.

Unit cell a=6.8271 b=6.8271 c=6.8271 alpha=90.00 beta=90.00 gamma=90.00
Closest atoms and distances in Å follow each position.
Space group F-43m (No. 216)
Inequivalent atoms, fractional coordinates:
Gd (0.0000, 0.0000, 0.0000) (multiplicity 4)  4 Tc 2.96, 4 Sb 2.96
Tc (0.2500, 0.2500, 0.2500) (multiplicity 4)  4 Gd 2.96
Sb (0.2500, 0.2500, 0.7500) (multiplicity 4)  4 Gd 2.96

Results
DFT total energy in eV per atom: -5.668
Total magnetization in μB per formula unit: 0.2
Energy above the lowest structure with this stoichiometry in meV/atom: 612.7


First-principles (PBE) data for GdDyBPb after structural relaxation, as listed in the Open Quantum Materials Database.

Unit cell a=3.7165 b=3.7165 c=16.8252 alpha=90.00 beta=90.00 gamma=120.00
Closest atoms and distances in Å follow each position.
Space group P-6m2 (No. 187)
Inequivalent atoms, fractional coordinates:
Gd (0.0000, 0.0000, 0.1610) (multiplicity 2)  3 B 2.63
Dy (0.6667, 0.3333, 0.3399) (multiplicity 2)  3 B 2.61
B (0.3333, 0.6667, 0.2514) (multiplicity 2)  3 Dy 2.61, 3 Gd 2.63
Pb (0.0000, 0.0000, 0.5000) (multiplicity 1)  6 Dy 3.44, 6 Pb 3.72
Pb (0.6667, 0.3333, 0.0000) (multiplicity 1)  6 Gd 3.46, 6 Pb 3.72

Results
DFT total energy in eV per atom: -5.090
Total magnetization in μB per formula unit: 0.4


First-principles (PBE) data for DyTmSn2 after structural relaxation, as listed in the Open Quantum Materials Database.

Unit cell a=3.3240 b=6.1769 c=12.2595 alpha=90.00 beta=90.00 gamma=90.00
Closest atoms and distances in Å follow each position.
Space group Amm2 (No. 38)
Inequivalent atoms, fractional coordinates:
Dy (0.0000, 0.0000, 0.0000) (multiplicity 2)  3 Sn 3.02-3.10, 2 Dy 3.32
Tm (0.0000, 0.0000, 0.7206) (multiplicity 2)  3 Sn 2.98-3.10, 2 Tm 3.32
Sn (0.0000, 0.0000, 0.2460) (multiplicity 2)  1 Sn 2.83, 1 Dy 3.02, 2 Tm 3.10
Sn (0.0000, 0.0000, 0.4771) (multiplicity 2)  1 Sn 2.83, 1 Tm 2.98, 2 Dy 3.10

Results
DFT total energy in eV per atom: -4.172
Total magnetization in μB per formula unit: 0.0


First-principles (PBE) data for Pu5SbTe4 after structural relaxation, as listed in the Open Quantum Materials Database.

Unit cell a=9.9281 b=9.9281 c=6.2733 alpha=90.00 beta=90.00 gamma=90.00
Closest atoms and distances in Å follow each position.
Space group I4/m (No. 87)
Inequivalent atoms, fractional coordinates:
Pu (0.0000, 0.0000, 0.0000) (multiplicity 2)  2 Sb 3.14, 4 Te 3.15
Pu (0.1001, 0.2975, 0.5000) (multiplicity 8)  1 Sb 3.12, 5 Te 3.14-3.15
Sb (0.0000, 0.0000, 0.5000) (multiplicity 2)  6 Pu 3.12-3.14
Te (0.0990, 0.3012, 0.0000) (multiplicity 8)  6 Pu 3.14-3.15

Results
DFT total energy in eV per atom: -9.843
Total magnetization in μB per formula unit: 28.7


First-principles (PBE) data for Ba2Ag2O5 after structural relaxation, as listed in the Open Quantum Materials Database.

Unit cell a=4.6259 b=4.6259 c=8.8934 alpha=90.00 beta=90.00 gamma=90.00
Closest atoms and distances in Å follow each position.
Space group P4/mmm (No. 123)
Inequivalent atoms, fractional coordinates:
Ba (0.0000, 0.0000, 0.2263) (multiplicity 2)  5 O 2.43-2.64
Ag (0.5000, 0.5000, 0.0000) (multiplicity 1)  8 O 2.43
Ag (0.5000, 0.5000, 0.5000) (multiplicity 1)  4 O 3.27
O (0.0000, 0.0000, 0.5000) (multiplicity 1)  2 Ba 2.43
O (0.0000, 0.5000, 0.0836) (multiplicity 4)  1 O 1.49

Results
DFT total energy in eV per atom: -4.570
Energy above the lowest structure with this stoichiometry in meV/atom: 388.2


First-principles (PBE) data for Cs4Hf3Se14 after structural relaxation, as listed in the Open Quantum Materials Database.

Unit cell a=22.8484 b=8.9691 c=14.7113 alpha=90.00 beta=112.23 gamma=90.00
Closest atoms and distances in Å follow each position.
Space group C2/c (No. 15)
Inequivalent atoms, fractional coordinates:
Cs (0.0633, 0.2482, 0.1526) (multiplicity 8)  9 Se 3.61-3.99
Cs (0.2007, 0.3216, 0.6089) (multiplicity 8)  8 Se 3.58-4.00
Hf (0.0000, 0.2611, 0.7500) (multiplicity 4)  8 Se 2.70-2.82
Hf (0.1677, 0.2575, 0.9144) (multiplicity 8)  7 Se 2.57-2.85
Se (0.0365, 0.3347, 0.6007) (multiplicity 8)  1 Se 2.50, 1 Hf 2.71
Se (0.0632, 0.1028, 0.9205) (multiplicity 8)  1 Se 2.47
Se (0.0802, 0.4837, 0.8673) (multiplicity 8)  1 Se 2.42
Se (0.1009, 0.1448, 0.7219) (multiplicity 8)  1 Se 2.50, 1 Hf 2.70
Se (0.1466, 0.0417, 0.3925) (multiplicity 8)  1 Se 2.47, 1 Hf 2.72
Se (0.1761, 0.4822, 0.3359) (multiplicity 8)  1 Se 2.42, 1 Hf 2.64
Se (0.2191, 0.2826, 0.1019) (multiplicity 8)  2 Hf 2.57-2.71

Results
DFT total energy in eV per atom: -4.960
Total magnetization in μB per formula unit: 0.0


First-principles (PBE) data for KNaPrAsO5 after structural relaxation, as listed in the Open Quantum Materials Database.

Unit cell a=5.6475 b=5.6475 c=8.0100 alpha=90.00 beta=90.00 gamma=90.00
Closest atoms and distances in Å follow each position.
Space group P4/nmm (No. 129, origin choice 2)
Inequivalent atoms, fractional coordinates:
K (0.2500, 0.7500, 0.0000) (multiplicity 2)  4 O 2.84
Na (0.2500, 0.2500, 0.2279) (multiplicity 2)  5 O 2.17-2.33
Pr (0.2500, 0.7500, 0.5000) (multiplicity 2)  8 O 2.48
As (0.2500, 0.2500, 0.7430) (multiplicity 2)  5 O 1.71-1.84
O (0.0278, 0.0278, 0.6815) (multiplicity 8)  1 As 1.84
O (0.2500, 0.2500, 0.9568) (multiplicity 2)  1 As 1.71

Results
DFT total energy in eV per atom: -6.172
Total magnetization in μB per formula unit: 0.0